The following is a DFT calculation (PBE-GGA) of a relaxed structure of Cu3NiBr9.

POSCAR file:
```
Cu3NiBr9
1.0
9.330 -4.048 0.000
9.330 4.048 0.000
-7.968 0.000 10.454
Cu Ni Br
6 2 18
direct
0.029 0.971 0.500
0.278 0.496 0.591
0.496 0.278 0.091
0.540 0.719 0.442
0.719 0.540 0.942
0.971 0.029 0.000
0.027 0.484 0.760
0.484 0.027 0.260
0.024 0.815 0.579
0.106 0.170 0.709
0.167 0.359 0.597
0.170 0.106 0.209
0.205 0.893 0.389
0.334 0.413 0.923
0.359 0.167 0.097
0.413 0.334 0.423
0.440 0.647 0.768
0.573 0.709 0.104
0.596 0.903 0.427
0.647 0.440 0.268
0.709 0.573 0.604
0.794 0.949 0.301
0.815 0.024 0.079
0.893 0.205 0.889
0.903 0.596 0.927
0.949 0.794 0.801
```

Summary:
Raw formation energy = -19.6 kJ/mol of atoms
ρ = 4073 kg/m3